Below is RbBi3Se after structural relaxation, with properties calculated at the GGA-PBE level.

Geometry as POSCAR:
```
RbBi3Se
1.0
-5.487 -1.320 1.292
1.756 -4.982 2.369
0.572 2.637 5.122
Se Bi Rb
1 3 1
Direct
0.000 0.000 0.000
0.000 0.500 0.000
0.000 0.000 0.500
0.500 0.000 0.000
0.500 0.500 0.500
```

* energy above the most stable polymorph in this dataset: 0.000 eV per atom
* space-group type: Pm-3m, No. 221

Below is BaMg4Hg2Au after structural relaxation, with properties calculated at the GGA-PBE level.

Geometry as POSCAR:
```
BaMg4Hg2Au
1.0
4.832 0.000 0.000
2.416 4.184 0.000
2.416 1.395 10.298
Ba Mg Hg Au
1 4 2 1
Direct
0.000 0.000 0.000
0.415 0.415 0.756
0.860 0.860 0.420
0.140 0.140 0.580
0.585 0.585 0.244
0.745 0.745 0.764
0.255 0.255 0.236
0.500 0.500 0.500
```

* energy of formation from the pure elements: -2.92 eV/f.u.
* space-group type: R-3m, No. 166